Entry 1:
Compound: Pa2MnIr
Source: Alexandria via LeMat-Bulk
Functional: PBE-GGA
Structure: relaxed

Total DFT energy (no corrections): -37.8 eV per cell
E_form: -0.194 eV/atom
Spin magnetization: 0.00 μB per cell

```
4
Lattice="-1.737 1.645 2.373 -2.782 -3.901 0.669 3.074 -1.614 3.369" Properties=species:S:1:pos:R:3 pbc="T T T"
Mn -0.868 0.823 1.186
Pa 1.537 -0.807 1.685
Ir -0.723 -1.935 3.205
Pa -1.391 -1.951 0.334
```



Entry 2:
Compound: PaMnIrPt
Source: Alexandria via LeMat-Bulk
Functional: PBE-GGA
Structure: relaxed

Total DFT energy (no corrections): -35.4 eV per cell
E_form: -0.460 eV/atom
Spin magnetization: 4.82 μB per cell

```
4
Lattice="4.728 0.000 0.000 2.364 4.095 0.000 2.364 1.365 3.860" Properties=species:S:1:pos:R:3 pbc="T T T"
Pt 7.092 4.095 2.895
Ir 2.364 1.365 0.965
Pa 4.728 2.730 1.930
Mn 0.000 0.000 0.000
```



Entry 3:
Compound: PuPaMnIr
Source: Alexandria via LeMat-Bulk
Functional: PBE-GGA
Structure: relaxed

Total DFT energy (no corrections): -42.8 eV per cell
E_form: -0.225 eV/atom
Spin magnetization: 3.83 μB per cell

```
4
Lattice="-2.323 2.348 3.511 -4.576 -1.115 1.027 -1.062 -2.265 4.121" Properties=species:S:1:pos:R:3 pbc="T T T"
Mn -5.971 -0.773 6.495
Ir -1.990 -0.258 2.165
Pu 0.000 0.000 0.000
Pa -3.981 -0.516 4.330
```



Entry 4:
Compound: PaMnIrRh
Source: Alexandria via LeMat-Bulk
Functional: PBE-GGA
Structure: relaxed

Total DFT energy (no corrections): -36.5 eV per cell
E_form: -0.414 eV/atom
Spin magnetization: 4.45 μB per cell

```
4
Lattice="4.664 0.000 0.000 2.332 4.039 0.000 2.332 1.346 3.808" Properties=species:S:1:pos:R:3 pbc="T T T"
Pa 6.996 4.039 2.856
Rh 4.664 2.693 1.904
Ir 0.000 0.000 0.000
Mn 2.332 1.346 0.952
```



Entry 5:
Compound: PaMnIrRu
Source: Alexandria via LeMat-Bulk
Functional: PBE-GGA
Structure: relaxed

Total DFT energy (no corrections): -37.9 eV per cell
E_form: -0.284 eV/atom
Spin magnetization: 4.74 μB per cell

```
4
Lattice="4.643 0.000 0.000 2.321 4.021 0.000 2.321 1.340 3.791" Properties=species:S:1:pos:R:3 pbc="T T T"
Ir 2.321 1.340 0.948
Ru 6.964 4.021 2.843
Mn 0.000 0.000 0.000
Pa 4.643 2.681 1.895
```



Entry 6:
Compound: PaMn2IrS8
Source: Alexandria via LeMat-Bulk
Functional: PBE-GGA
Structure: relaxed

Energy relative to the elements, uncorrected: -475 meV per atom
Total DFT energy (no corrections): -75.4 eV per cell
Spin magnetization: 5.96 μB per cell

```
12
Lattice="5.872 0.000 0.000 -2.936 5.085 0.000 0.000 0.000 7.850" Properties=species:S:1:pos:R:3 pbc="T T T"
S -1.947 3.632 2.352
Ir 0.000 0.000 3.925
Mn 0.000 3.390 5.757
S 2.172 3.502 5.498
S 4.883 1.454 5.498
S 0.000 3.390 0.005
S 0.764 1.583 2.352
S 2.936 1.695 7.845
S 1.753 0.129 5.498
Mn 2.936 1.695 2.093
Pa 0.000 0.000 0.000
S 1.183 4.956 2.352
```



Entry 7:
Compound: ScPaMnIr
Source: Alexandria via LeMat-Bulk
Functional: PBE-GGA
Structure: relaxed

Total DFT energy (no corrections): -35.3 eV per cell
E_form: -0.364 eV/atom
Spin magnetization: 0.84 μB per cell

```
4
Lattice="4.708 0.000 0.000 2.354 4.077 0.000 2.354 1.359 3.844" Properties=species:S:1:pos:R:3 pbc="T T T"
Ir 0.000 0.000 0.000
Mn 4.708 2.718 1.922
Pa 7.061 4.077 2.883
Sc 2.354 1.359 0.961
```



Entry 8:
Compound: Pa2MnSi4Ir3
Source: Alexandria via LeMat-Bulk
Functional: PBE-GGA
Structure: relaxed

Energy relative to the elements, uncorrected: -880 meV per atom
Total DFT energy (no corrections): -85.2 eV per cell
Spin magnetization: 1.25 μB per cell

```
10
Lattice="-0.291 -0.084 -4.108 2.501 -3.271 -0.110 -7.724 -5.929 0.670" Properties=species:S:1:pos:R:3 pbc="T T T"
Ir 0.253 -2.401 0.031
Ir -3.862 -2.964 0.335
Mn -2.757 -4.642 -1.774
Si -4.986 -3.758 -1.634
Si -1.633 -3.849 0.195
Pa -4.484 -6.037 0.442
Ir -6.872 -5.205 -1.471
Pa -2.135 -1.569 -1.881
Si 0.000 0.000 0.000
Si 1.105 -1.678 -2.109
```



Entry 9:
Compound: Pa2MnSi6Ir
Source: Alexandria via LeMat-Bulk
Functional: PBE-GGA
Structure: relaxed

Energy relative to the elements, uncorrected: -387 meV per atom
Total DFT energy (no corrections): -146.9 eV per cell
Spin magnetization: 3.60 μB per cell

```
20
Lattice="5.760 0.000 0.000 2.880 4.989 0.000 2.880 1.663 11.727" Properties=species:S:1:pos:R:3 pbc="T T T"
Si 5.760 1.538 7.429
Si 7.411 2.373 9.432
Si 5.760 1.419 2.295
Si 5.760 5.113 4.298
Ir 5.760 3.326 10.779
Si 5.760 5.232 9.432
Si 7.308 4.219 7.429
Pa 2.880 1.663 6.870
Pa 8.640 4.989 4.857
Si 4.109 2.373 9.432
Pa 8.640 4.989 10.008
Mn 0.000 0.000 0.000
Si 4.212 4.219 7.429
Si 7.411 4.279 2.295
Si 4.109 4.279 2.295
Ir 5.760 3.326 0.948
Mn 5.760 3.326 5.863
Si 4.212 2.432 4.298
Pa 2.880 1.663 1.719
Si 7.308 2.432 4.298
```



Entry 10:
Compound: PaMnSi2Ir2
Source: Alexandria via LeMat-Bulk
Functional: PBE-GGA
Structure: relaxed

Energy relative to the elements, uncorrected: -400 meV per atom
Total DFT energy (no corrections): -49.6 eV per cell
Spin magnetization: 0.00 μB per cell

```
6
Lattice="3.819 0.000 0.000 0.000 3.819 0.000 -1.910 -1.910 7.361" Properties=species:S:1:pos:R:3 pbc="T T T"
Ir 1.910 0.000 3.681
Pa 1.910 1.910 0.000
Mn 0.000 0.000 0.000
Ir 0.000 1.910 3.681
Si 1.910 1.910 5.106
Si 0.000 0.000 2.255
```



Entry 11:
Compound: MnIr2Pb
Source: Alexandria via LeMat-Bulk
Functional: PBE-GGA
Structure: relaxed

Total DFT energy (no corrections): -28.7 eV per cell
E_form: 0.471 eV/atom
Spin magnetization: 3.66 μB per cell

```
4
Lattice="3.017 0.000 0.000 0.000 4.809 0.000 0.000 0.000 4.628" Properties=species:S:1:pos:R:3 pbc="T T T"
Pb 0.000 2.404 2.314
Mn 1.508 0.000 2.314
Ir 0.000 0.000 0.000
Ir 1.508 2.404 0.000
```



Entry 12:
Compound: MnIr2Pb
Source: Alexandria via LeMat-Bulk
Functional: PBE-GGA
Structure: relaxed

Total DFT energy (no corrections): -29.2 eV per cell
E_form: 0.348 eV/atom
Spin magnetization: 3.20 μB per cell

```
4
Lattice="9.037 -0.113 -0.067 8.579 2.841 -0.067 8.579 1.329 2.513" Properties=species:S:1:pos:R:3 pbc="T T T"
Ir 13.418 2.078 1.219
Mn 6.549 1.014 0.595
Ir 25.874 4.007 2.350
Pb 19.646 3.042 1.785
```



Q: Among the records above, which one has the highest total DFT energy (no corrections)?
A: number 11